# 1
DFT (PBE-GGA) results for a relaxed Sr2Al4CuNi crystal.

Cell: 7.229 6.084 6.084 Å, 39.66 90.00 90.00°
Atoms (fractional coordinates):
Sr: 0.000 0.000 0.000
Sr: 0.500 0.090 0.090
Al: 0.193 0.726 0.726
Al: 0.317 0.364 0.364
Al: 0.683 0.364 0.364
Al: 0.807 0.726 0.726
Cu: 0.000 0.274 0.274
Ni: 0.500 0.821 0.821

Properties
Size of the total moment = 0.0000 μB/atom
Space-group type = Amm2, No. 38
Total DFT energy (no corrections) = -3.8148 eV/atom

---

# 2
DFT (PBE-GGA) results for a relaxed RbEr crystal.

Cell: 6.020 6.020 6.775 Å, 90.00 90.00 120.00°
Atoms (fractional coordinates):
Rb: 0.000 0.000 0.000
Rb: 0.000 0.000 0.500
Er: 0.333 0.667 0.250
Er: 0.667 0.333 0.750

Properties
Size of the total moment = 0.0102 μB/atom
Space-group type = P6_3/mmc, No. 194
Total DFT energy (no corrections) = -1.3467 eV/atom

---

# 3
DFT (PBE-GGA) results for a relaxed MgHgB4 crystal.

Cell: 4.946 4.946 4.946 Å, 143.12 115.34 76.83°
Atoms (fractional coordinates):
Mg: 0.000 0.000 0.000
Hg: 0.500 0.500 0.000
B: 0.061 0.736 0.325
B: 0.411 0.736 0.675
B: 0.589 0.264 0.325
B: 0.939 0.264 0.675

Properties
Space-group type = Immm, No. 71
Relative energy among the computed polymorphs = 0 meV per atom
Total DFT energy (no corrections) = -4.4054 eV/atom

---

# 4
DFT (PBE-GGA) results for a relaxed BaPr2SmO5 crystal.

Cell: 7.136 7.136 7.136 Å, 144.87 129.68 62.85°
Atoms (fractional coordinates):
Ba: 0.000 0.000 0.000
Pr: 0.284 0.784 0.500
Pr: 0.716 0.216 0.500
Sm: 0.500 0.500 0.000
O: 0.111 0.352 0.759
O: 0.407 0.648 0.759
O: 0.500 0.000 0.500
O: 0.593 0.352 0.241
O: 0.889 0.648 0.241

Properties
Size of the total moment = 0.0547 μB/atom
Space-group type = Immm, No. 71
Total DFT energy (no corrections) = -7.4279 eV/atom

---

# 5
DFT (PBE-GGA) results for a relaxed Sm2I2NCl crystal.

Cell: 9.177 9.177 11.637 Å, 120.56 120.56 25.50°
Atoms (fractional coordinates):
Sm: 0.081 0.081 0.462
Sm: 0.372 0.372 0.222
Sm: 0.628 0.628 0.778
Sm: 0.919 0.919 0.538
I: 0.161 0.161 0.024
I: 0.442 0.442 0.763
I: 0.558 0.558 0.237
I: 0.839 0.839 0.976
N: 0.069 0.069 0.652
N: 0.931 0.931 0.348
Cl: 0.298 0.298 0.391
Cl: 0.702 0.702 0.609

Properties
Size of the total moment = 0.0005 μB/atom
Space-group type = C2/m, No. 12
Relative energy among the computed polymorphs = 0 meV per atom
Total DFT energy (no corrections) = -5.4650 eV/atom

---

# 6
DFT (PBE-GGA) results for a relaxed LiPrCoSe3 crystal.

Cell: 6.583 6.583 11.268 Å, 90.00 90.00 144.48°
Atoms (fractional coordinates):
Li: 0.225 0.775 0.750
Li: 0.775 0.225 0.250
Pr: 0.000 0.000 0.000
Pr: 0.000 0.000 0.500
Co: 0.477 0.523 0.250
Co: 0.523 0.477 0.750
Se: 0.087 0.913 0.250
Se: 0.350 0.650 0.092
Se: 0.350 0.650 0.408
Se: 0.650 0.350 0.592
Se: 0.650 0.350 0.908
Se: 0.913 0.087 0.750

Properties
Size of the total moment = 0.4600 μB/atom
Space-group type = Cmcm, No. 63
Total DFT energy (no corrections) = -5.0584 eV/atom

---

# 7
DFT (PBE-GGA) results for a relaxed LaMgSiIr crystal.

Cell: 4.766 4.766 4.766 Å, 60.00 60.00 60.00°
Atoms (fractional coordinates):
La: 0.000 0.000 0.000
Mg: 0.750 0.750 0.750
Si: 0.500 0.500 0.500
Ir: 0.250 0.250 0.250

Properties
Size of the total moment = 0.0001 μB/atom
Space-group type = F-43m, No. 216
Relative energy among the computed polymorphs = 27 meV per atom
Total DFT energy (no corrections) = -5.4642 eV/atom

---

# 8
DFT (PBE-GGA) results for a relaxed KAgGeS3 crystal.

Cell: 7.678 7.678 10.374 Å, 90.00 90.00 153.10°
Atoms (fractional coordinates):
K: 0.220 0.780 0.750
K: 0.780 0.220 0.250
Ag: 0.087 0.913 0.250
Ag: 0.913 0.087 0.750
Ge: 0.500 0.500 0.000
Ge: 0.500 0.500 0.500
S: 0.115 0.885 0.020
S: 0.115 0.885 0.480
S: 0.458 0.542 0.250
S: 0.542 0.458 0.750
S: 0.885 0.115 0.520
S: 0.885 0.115 0.980

Properties
Space-group type = Cmcm, No. 63
Total DFT energy (no corrections) = -3.8060 eV/atom

---

# 9
DFT (PBE-GGA) results for a relaxed CdCuBIr crystal.

Cell: 4.256 4.256 4.256 Å, 60.00 60.00 60.00°
Atoms (fractional coordinates):
Cd: 0.000 0.000 0.000
Cu: 0.750 0.750 0.750
B: 0.500 0.500 0.500
Ir: 0.250 0.250 0.250

Properties
Size of the total moment = 0.0013 μB/atom
Space-group type = F-43m, No. 216
Relative energy among the computed polymorphs = 0 meV per atom
Total DFT energy (no corrections) = -4.2709 eV/atom

---

# 10
DFT (PBE-GGA) results for a relaxed LiBePd2 crystal.

Cell: 4.081 4.081 2.872 Å, 90.00 90.00 90.00°
Atoms (fractional coordinates):
Li: 0.000 0.000 0.000
Be: 0.500 0.500 0.000
Pd: 0.000 0.500 0.500
Pd: 0.500 0.000 0.500

Properties
Space-group type = P4/mmm, No. 123
Total DFT energy (no corrections) = -4.5450 eV/atom

---

# 11
DFT (PBE-GGA) results for a relaxed Ni2As3P crystal.

Cell: 3.521 3.521 8.689 Å, 90.00 90.00 120.00°
Atoms (fractional coordinates):
Ni: 0.333 0.667 0.348
Ni: 0.667 0.333 0.652
As: 0.000 0.000 0.500
As: 0.333 0.667 0.819
As: 0.667 0.333 0.181
P: 0.000 0.000 0.000

Properties
Size of the total moment = 0.0009 μB/atom
Space-group type = P-3m1, No. 164
Total DFT energy (no corrections) = -5.0653 eV/atom

---

# 12
DFT (PBE-GGA) results for a relaxed LiLuCoTe3 crystal.

Cell: 7.386 7.386 10.988 Å, 90.00 90.00 148.28°
Atoms (fractional coordinates):
Li: 0.185 0.815 0.750
Li: 0.815 0.185 0.250
Lu: 0.000 0.000 0.000
Lu: 0.000 0.000 0.500
Co: 0.477 0.523 0.250
Co: 0.523 0.477 0.750
Te: 0.088 0.912 0.250
Te: 0.356 0.644 0.074
Te: 0.356 0.644 0.426
Te: 0.644 0.356 0.574
Te: 0.644 0.356 0.926
Te: 0.912 0.088 0.750

Properties
Size of the total moment = 0.3489 μB/atom
Space-group type = Cmcm, No. 63
Total DFT energy (no corrections) = -4.5410 eV/atom

---

# 13
DFT (PBE-GGA) results for a relaxed NbFeAs crystal.

Cell: 6.260 6.260 3.756 Å, 90.00 90.00 120.00°
Atoms (fractional coordinates):
Nb: 0.000 0.584 0.000
Nb: 0.416 0.416 0.000
Nb: 0.584 0.000 0.000
Fe: 0.000 0.247 0.500
Fe: 0.247 0.000 0.500
Fe: 0.753 0.753 0.500
As: 0.000 0.000 0.000
As: 0.333 0.667 0.500
As: 0.667 0.333 0.500

Properties
Size of the total moment = 0.1780 μB/atom
Space-group type = P-62m, No. 189
Total DFT energy (no corrections) = -8.0911 eV/atom

---

# 14
DFT (PBE-GGA) results for a relaxed LaPrFe2Sn4 crystal.

Cell: 4.730 4.658 9.093 Å, 90.00 104.79 90.00°
Atoms (fractional coordinates):
La: 0.000 0.000 0.000
Pr: 0.864 0.500 0.563
Fe: 0.185 0.000 0.403
Fe: 0.676 0.500 0.161
Sn: 0.222 0.500 0.283
Sn: 0.427 0.000 0.680
Sn: 0.437 0.500 0.883
Sn: 0.640 0.000 0.281

Properties
Size of the total moment = 0.3633 μB/atom
Space-group type = Pm, No. 6
Total DFT energy (no corrections) = -5.6405 eV/atom

---

# 15
DFT (PBE-GGA) results for a relaxed LaNdSm crystal.

Cell: 5.597 5.597 5.597 Å, 60.00 60.00 60.00°
Atoms (fractional coordinates):
La: 0.000 0.000 0.000
Nd: 0.500 0.500 0.500
Sm: 0.250 0.250 0.250

Properties
Energy of formation from the pure elements = 0.668 eV/atom
Size of the total moment = 0.0158 μB/atom
Space-group type = F-43m, No. 216
Relative energy among the computed polymorphs = 0 meV per atom
Total DFT energy (no corrections) = -4.1313 eV/atom

---

# 16
DFT (PBE-GGA) results for a relaxed Ba2TbOs2 crystal.

Cell: 7.581 7.581 7.581 Å, 144.72 144.72 50.75°
Atoms (fractional coordinates):
Ba: 0.250 0.750 0.500
Ba: 0.750 0.250 0.500
Tb: 0.000 0.000 0.000
Os: 0.416 0.416 0.000
Os: 0.584 0.584 0.000

Properties
Size of the total moment = 0.2473 μB/atom
Space-group type = I4/mmm, No. 139
Relative energy among the computed polymorphs = 0 meV per atom
Total DFT energy (no corrections) = -5.2843 eV/atom

---

# 17
DFT (PBE-GGA) results for a relaxed TmNbPO crystal.

Cell: 3.779 7.141 5.540 Å, 90.00 90.00 90.00°
Atoms (fractional coordinates):
Tm: 0.000 0.210 0.000
Tm: 0.000 0.790 0.500
Nb: 0.500 0.402 0.509
Nb: 0.500 0.598 0.009
P: 0.000 0.173 0.490
P: 0.000 0.827 0.990
O: 0.500 0.319 0.888
O: 0.500 0.681 0.388

Properties
Size of the total moment = 0.0656 μB/atom
Space-group type = Pmc2_1, No. 26
Relative energy among the computed polymorphs = 511 meV per atom
Total DFT energy (no corrections) = -7.7092 eV/atom

---

# 18
DFT (PBE-GGA) results for a relaxed ZrInCoTc crystal.

Cell: 4.550 4.550 4.550 Å, 60.00 60.00 60.00°
Atoms (fractional coordinates):
Zr: 0.000 0.000 0.000
In: 0.500 0.500 0.500
Co: 0.750 0.750 0.750
Tc: 0.250 0.250 0.250

Properties
Size of the total moment = 0.1723 μB/atom
Space-group type = F-43m, No. 216
Relative energy among the computed polymorphs = 0 meV per atom
Total DFT energy (no corrections) = -7.2584 eV/atom

---

# 19
DFT (PBE-GGA) results for a relaxed Ba2NaFeH6 crystal.

Cell: 5.650 5.650 5.650 Å, 60.00 60.00 60.00°
Atoms (fractional coordinates):
Ba: 0.250 0.250 0.250
Ba: 0.750 0.750 0.750
Na: 0.000 0.000 0.000
Fe: 0.500 0.500 0.500
H: 0.291 0.291 0.709
H: 0.291 0.709 0.291
H: 0.291 0.709 0.709
H: 0.709 0.291 0.291
H: 0.709 0.291 0.709
H: 0.709 0.709 0.291

Properties
Size of the total moment = 0.0005 μB/atom
Space-group type = Fm-3m, No. 225
Total DFT energy (no corrections) = -3.7030 eV/atom

---

# 20
DFT (PBE-GGA) results for a relaxed Li2Zn2InGeIr2 crystal.

Cell: 4.353 4.353 6.244 Å, 90.00 90.00 90.00°
Atoms (fractional coordinates):
Li: 0.000 0.500 0.238
Li: 0.500 0.000 0.762
Zn: 0.000 0.000 0.000
Zn: 0.500 0.500 0.500
In: 0.000 0.000 0.500
Ge: 0.500 0.500 0.000
Ir: 0.000 0.500 0.776
Ir: 0.500 0.000 0.224

Properties
Size of the total moment = 0.0002 μB/atom
Space-group type = P-4m2, No. 115
Total DFT energy (no corrections) = -4.2824 eV/atom

---

# 21
DFT (PBE-GGA) results for a relaxed ScTaS4 crystal.

Cell: 10.490 10.490 6.023 Å, 90.00 90.00 160.98°
Atoms (fractional coordinates):
Sc: 0.000 0.000 0.000
Ta: 0.500 0.500 0.488
S: 0.074 0.926 0.648
S: 0.424 0.576 0.182
S: 0.576 0.424 0.182
S: 0.926 0.074 0.648

Properties
Size of the total moment = 0.0008 μB/atom
Space-group type = Cmm2, No. 35
Total DFT energy (no corrections) = -6.9204 eV/atom

---

# 22
DFT (PBE-GGA) results for a relaxed La2AlGaPd4 crystal.

Cell: 4.462 4.462 9.727 Å, 90.00 90.00 120.00°
Atoms (fractional coordinates):
La: 0.333 0.667 0.249
La: 0.667 0.333 0.751
Al: 0.000 0.000 0.500
Ga: 0.000 0.000 0.000
Pd: 0.333 0.667 0.567
Pd: 0.333 0.667 0.932
Pd: 0.667 0.333 0.068
Pd: 0.667 0.333 0.433

Properties
Size of the total moment = 0.0009 μB/atom
Space-group type = P-3m1, No. 164
Total DFT energy (no corrections) = -5.5403 eV/atom

---

# 23
DFT (PBE-GGA) results for a relaxed Na4Cu2SiGe crystal.

Cell: 4.667 4.667 6.597 Å, 90.00 90.00 90.00°
Atoms (fractional coordinates):
Na: 0.000 0.000 0.000
Na: 0.000 0.500 0.248
Na: 0.500 0.000 0.752
Na: 0.500 0.500 0.500
Cu: 0.000 0.500 0.760
Cu: 0.500 0.000 0.240
Si: 0.500 0.500 0.000
Ge: 0.000 0.000 0.500

Properties
Space-group type = P-4m2, No. 115
Total DFT energy (no corrections) = -2.6859 eV/atom

---

# 24
DFT (PBE-GGA) results for a relaxed Lu4HgC2S crystal.

Cell: 3.573 3.573 13.878 Å, 90.00 90.00 120.00°
Atoms (fractional coordinates):
Lu: 0.000 0.000 0.132
Lu: 0.000 0.000 0.868
Lu: 0.333 0.667 0.319
Lu: 0.333 0.667 0.681
Hg: 0.000 0.000 0.500
C: 0.667 0.333 0.227
C: 0.667 0.333 0.773
S: 0.333 0.667 0.000

Properties
Size of the total moment = 0.1244 μB/atom
Space-group type = P-6m2, No. 187
Total DFT energy (no corrections) = -5.9993 eV/atom

---

# 25
DFT (PBE-GGA) results for a relaxed LiLuNO crystal.

Cell: 4.340 3.935 6.085 Å, 90.00 90.00 90.00°
Atoms (fractional coordinates):
Li: 0.250 0.000 0.185
Li: 0.750 0.000 0.815
Lu: 0.250 0.500 0.703
Lu: 0.750 0.500 0.297
N: 0.250 0.000 0.857
N: 0.750 0.000 0.143
O: 0.250 0.500 0.346
O: 0.750 0.500 0.654

Properties
Size of the total moment = 0.2477 μB/atom
Space-group type = Pmma, No. 51
Relative energy among the computed polymorphs = 10 meV per atom
Total DFT energy (no corrections) = -6.5543 eV/atom